A geometry-optimized TaCuPb2 structure, computed with PBE.

POSCAR file:
```
TaCuPb2
1.0
4.9836 -1.6103 0.0000
4.9836 1.6103 0.0000
-1.4432 0.0000 5.3607
Ta Cu Pb
1 1 2
direct
0.0000 0.0000 0.0000 Ta
0.5000 0.5000 0.5000 Cu
0.2408 0.2408 0.7468 Pb
0.7592 0.7592 0.2532 Pb
```

Properties
- final energy (eV per atom) = -5.1791
- SG = C2/m (12)
- crystal system = monoclinic

=====

A geometry-optimized TaCuPb2 structure, computed with PBE.

POSCAR file:
```
TaCuPb2
1.0
3.1037 0.0000 0.0000
0.0000 3.1037 0.0000
0.0000 0.0000 9.7628
Ta Cu Pb
1 1 2
direct
0.0000 0.0000 0.0000 Ta
0.5000 0.5000 0.1623 Cu
0.0000 0.0000 0.3712 Pb
0.5000 0.5000 0.7536 Pb
```

Properties
- final energy (eV per atom) = -5.5651
- SG = P4mm (99)
- crystal system = tetragonal

=====

| no. | excess energy over the best structure of this formula in the dataset (meV per atom) | formation energy from the elements (eV/atom) |
| --- | --- | --- |
| 1 | 386.0 | 0.662 |
| 2 | 0.0 | 0.276 |